MgAl2Si | Alexandria | GGA-PBE | optimized geometry; space group = Imm2 (44); formation energy from raw total energies = 0.0819 eV/atom; Fermi-level density of states = 1.34 states/eV/f.u.
1.0
-1.9502 2.0962 4.1694
1.9502 -2.0962 4.1694
1.9502 2.0962 -4.1694
Mg Al Si
1 2 1
direct
0.0000 0.0000 0.0000
0.4883 0.4883 0.0000
0.7436 0.2436 0.5000
0.2508 0.7508 0.5000